# 1
! PmAg3, optimized geometry, DFT GGA-PBE; values from VASP
! D(E_F)   2.8 states/eV per cell
! Theoretical density   7827 kg/m3
! VASP energy   -3.140 eV/atom
! SG   I4/mmm
&SYSTEM
  ibrav = 0, nat = 4, ntyp = 2
/
ATOMIC_SPECIES
Ag 107.87 Ag.upf
Pm 145.00 Pm.upf
CELL_PARAMETERS angstrom
-4.094 0.501 0.260
-0.499 -4.102 0.046
2.668 1.821 5.655
ATOMIC_POSITIONS angstrom
Ag -2.125 -1.792 2.843
Ag -2.297 -1.801 0.153
Ag 0.199 0.011 3.118
Pm 0.000 0.000 0.000

=====

# 2
! Pm3Ag, optimized geometry, DFT GGA-PBE; values from VASP
! Energy above the lowest structure with this stoichiometry   195 meV/atom
! D(E_F)   5.4 states/eV per cell
! Theoretical density   7066 kg/m3
! SG   Pmm2
&SYSTEM
  ibrav = 0, nat = 4, ntyp = 2
/
ATOMIC_SPECIES
Pm 145.00 Pm.upf
Ag 107.87 Ag.upf
CELL_PARAMETERS angstrom
3.591 0.000 0.000
0.000 3.507 0.000
0.000 0.000 10.133
ATOMIC_POSITIONS angstrom
Pm 1.795 0.000 7.347
Pm 1.795 1.753 1.642
Pm 0.000 1.753 4.752
Ag 0.000 0.000 9.902

=====

Repeat the second record exactly.
! Pm3Ag, optimized geometry, DFT GGA-PBE; values from VASP
! Energy above the lowest structure with this stoichiometry   195 meV/atom
! D(E_F)   5.4 states/eV per cell
! Theoretical density   7066 kg/m3
! SG   Pmm2
&SYSTEM
  ibrav = 0, nat = 4, ntyp = 2
/
ATOMIC_SPECIES
Pm 145.00 Pm.upf
Ag 107.87 Ag.upf
CELL_PARAMETERS angstrom
3.591 0.000 0.000
0.000 3.507 0.000
0.000 0.000 10.133
ATOMIC_POSITIONS angstrom
Pm 1.795 0.000 7.347
Pm 1.795 1.753 1.642
Pm 0.000 1.753 4.752
Ag 0.000 0.000 9.902